Ca2TcSbRh | Alexandria | PBE | relaxed; ρ = 4.8 g/cm³; total magnetic moment = 3.54 μB per cell; formation energy without anion corrections = 2.0 eV per formula unit; space-group type = P4/mmm, No. 123
1.0
5.3054 0.0000 0.0000
0.0000 5.3054 0.0000
0.0000 0.0000 4.9869
Ca Tc Sb Rh
2 1 1 1
Direct
0.0000 0.5000 0.0000
0.5000 0.0000 0.0000
0.0000 0.0000 0.5000
0.5000 0.5000 0.5000
0.5000 0.5000 0.0000